Entry 1:
Entry from Alexandria: crystalline BaNiSb at its relaxed geometry (GGA-PBEsol).

Structure (extended XYZ):
```
3
Lattice="3.490 0.047 0.000 -0.045 3.490 0.000 -1.722 -1.768 6.035" Properties=species:S:1:pos:R:3 pbc="T T T"
Sb 1.722 1.768 2.602
Ba 1.722 1.768 5.960
Ni 0.000 0.000 3.508
```

Results
uncorrected formation energy = -0.61 eV per formula unit

Entry 2:
Entry from Alexandria: crystalline Y3PtRh at its relaxed geometry (GGA-PBEsol).

Structure (extended XYZ):
```
5
Lattice="5.232 0.000 0.000 0.000 5.232 0.000 0.000 0.000 5.232" Properties=species:S:1:pos:R:3 pbc="T T T"
Y 0.000 0.000 2.616
Y 0.000 2.616 0.000
Y 2.616 0.000 0.000
Pt 0.000 0.000 0.000
Rh 2.616 2.616 2.616
```

Results
formation energy from the elements = -0.026 eV/atom

Entry 3:
Entry from Alexandria: crystalline ZnSO4 at its relaxed geometry (GGA-PBEsol).

Structure (extended XYZ):
```
6
Lattice="5.507 0.000 0.000 2.753 4.769 0.000 2.753 1.590 4.496" Properties=species:S:1:pos:R:3 pbc="T T T"
O 5.507 1.796 2.737
O 5.507 3.179 0.781
O 4.308 3.871 2.737
O 6.705 3.871 2.737
Zn 8.260 4.769 3.372
S 5.507 3.179 2.248
```

Results
uncorrected formation energy = -8.24 eV per formula unit

Entry 4:
Entry from Alexandria: crystalline MgIn3Br at its relaxed geometry (GGA-PBEsol).

Structure (extended XYZ):
```
5
Lattice="5.448 0.000 0.000 0.000 5.448 0.000 0.000 0.000 5.448" Properties=species:S:1:pos:R:3 pbc="T T T"
Br 2.724 2.724 2.724
Mg 0.000 0.000 0.000
In 0.000 2.724 0.000
In 0.000 0.000 2.724
In 2.724 0.000 0.000
```

Results
uncorrected formation energy = 0.84 eV per formula unit

Entry 5:
Entry from Alexandria: crystalline Li9MgNi12O26 at its relaxed geometry (GGA-PBEsol).

Structure (extended XYZ):
```
48
Lattice="-0.797 -3.486 -6.572 -0.657 -6.883 3.119 -7.874 -1.744 -0.607" Properties=species:S:1:pos:R:3 pbc="T T T"
Li -3.967 -9.197 -2.633
Li -6.590 -5.800 -5.209
Li -2.374 -6.973 -1.463
Li -7.240 -4.372 0.183
Li -4.615 -7.772 2.777
Li -6.797 -4.997 -2.576
Li -0.909 -4.926 -0.389
Li -4.375 -8.537 0.136
Li -2.029 -7.655 -4.232
O -4.145 -7.995 -4.265
O -7.811 -9.063 -4.786
O -2.956 -3.302 -3.938
O -4.878 -6.710 0.948
O -4.388 -7.269 -1.681
O -7.576 -3.426 -1.678
O -8.674 -6.140 -5.417
O -5.130 -4.188 0.408
O -2.764 -4.120 -6.602
O -8.474 -7.651 0.710
O -6.264 -6.837 -3.425
O -2.668 -5.857 -3.311
O -6.368 -8.701 -0.155
O -1.495 -3.102 0.522
O -7.395 -11.422 -3.965
O -3.301 -2.609 -1.286
O -4.488 -5.606 -5.076
O -7.239 -4.081 -4.294
O -1.828 -8.703 -2.347
O -4.781 -4.862 -2.328
O -6.715 -6.279 -0.805
O -2.151 -8.161 0.281
O -1.180 -3.665 -2.146
O -8.268 -8.483 -1.836
O -2.916 -5.094 -0.637
O -6.048 -9.359 -2.871
Ni -3.318 -3.630 0.461
Ni -4.465 -6.401 -3.360
Ni -4.801 -5.734 -0.662
Ni -5.983 -8.524 -4.521
Ni -6.682 -7.165 0.881
Ni -1.520 -2.122 -1.130
Ni -8.181 -9.336 -0.191
Ni -6.361 -7.822 -1.819
Ni -2.640 -4.962 -4.963
Ni -1.147 -2.824 -3.848
Ni -2.992 -4.229 -2.279
Ni -7.857 -9.943 -2.931
Mg -0.664 -6.865 3.084
```

Results
uncorrected formation energy = -60.35 eV per formula unit

Entry 6:
Entry from Alexandria: crystalline CsPCl2O at its relaxed geometry (GGA-PBEsol).

Structure (extended XYZ):
```
5
Lattice="-0.476 -1.873 5.929 -2.247 -5.492 -1.915 7.218 -2.842 -0.319" Properties=species:S:1:pos:R:3 pbc="T T T"
Cl -1.124 -2.746 -0.958
Cl -0.238 -0.936 2.964
Cs 0.000 0.000 0.000
O 2.247 -5.104 1.847
P 3.609 -1.421 -0.159
```

Results
uncorrected formation energy = 5.17 eV per formula unit

Number 1: energy -0.3301 Ry per atom, ρ 7.2 g/cm³. Number 2: energy -0.5248 Ry per atom, ρ 6.5 g/cm³. Number 3: energy -0.4313 Ry per atom, ρ 2.3 g/cm³. Number 4: energy -0.1720 Ry per atom, ρ 4.6 g/cm³. Number 5: energy -0.4443 Ry per atom, ρ 4.7 g/cm³. Number 6: energy -0.1592 Ry per atom, ρ 1.4 g/cm³.